## Gd2AlGaCo4 (GGA-PBE)

Data for crystalline Gd2AlGaCo4 at its relaxed geometry.

Total DFT energy (no corrections), eV/cell: -46.785

Geometry as CIF:
```
data_Gd2AlGaCo4
_space_group_name_H-M_alt 'P 1'
_space_group_IT_number 1
_space_group_name_Hall 'P 1'
_cell_length_a 4.141
_cell_length_b 4.141
_cell_length_c 9.262
_cell_angle_alpha 90.00
_cell_angle_beta 90.00
_cell_angle_gamma 120.00
loop_
_atom_site_label
_atom_site_fract_x
_atom_site_fract_y
_atom_site_fract_z
Gd1 0.333 0.667 0.749
Gd2 0.667 0.333 0.251
Al1 0.000 0.000 0.500
Co1 0.667 0.333 0.964
Co2 0.333 0.667 0.460
Co3 0.333 0.667 0.036
Co4 0.667 0.333 0.540
Ga1 0.000 0.000 0.000
```